1.
Computed, not measured: a geometry-optimized TmNpTc2 structure at the GGA-PBE level of DFT.

Values from the calculation:
The calculation puts the total moment at 2.193 μB per formula unit. Its theoretical density is 13.16 g/cm3. The calculation puts the total energy at -37.92 eV per cell. The volume comes out at 19.0 Å³ per atom. As for the calculated formation energy: 57 meV per atom.

a = 4.7542 Å, b = 4.7542 Å, c = 4.7542 Å
α = 60.00°, β = 60.00°, γ = 60.00°
Last column: nearest neighbours and their distance in Å.
Element x y z (fractional)
Tm 0.0000 0.0000 0.0000  8 Tc 2.91
Np 0.5000 0.5000 0.5000  8 Tc 2.91
Tc 0.2500 0.2500 0.2500  4 Np 2.91, 4 Tm 2.91
Tc 0.7500 0.7500 0.7500  4 Tm 2.91, 4 Np 2.91



2.
Computed, not measured: a geometry-optimized TmNpTc structure at the GGA-PBE level of DFT.

Values from the calculation:
The calculation puts the total moment at 3.463 μB per formula unit. Its theoretical density is 12.12 g/cm3. The calculation puts the total energy at -54.16 eV per cell. The volume comes out at 23.0 Å³ per atom. As for the calculated formation energy: 233 meV per atom.

a = 6.8613 Å, b = 6.8613 Å, c = 6.8613 Å
α = 43.34°, β = 43.34°, γ = 43.34°
Last column: nearest neighbours and their distance in Å.
Element x y z (fractional)
Tm 0.1228 0.1228 0.1228  3 Tc 2.97
Tm 0.8772 0.8772 0.8772  3 Tc 2.97
Np 0.3024 0.3024 0.3024  1 Tc 2.34
Np 0.6976 0.6976 0.6976  1 Tc 2.34
Tc 0.4281 0.4281 0.4281  1 Np 2.34
Tc 0.5719 0.5719 0.5719  1 Np 2.34



3.
Computed, not measured: a geometry-optimized TmNpTc2 structure at the GGA-PBE level of DFT.

Values from the calculation:
The calculation puts the total moment at 1.921 μB per formula unit. Its theoretical density is 13.20 g/cm3. The calculation puts the total energy at -37.92 eV per cell. The volume comes out at 18.9 Å³ per atom. As for the calculated formation energy: 57 meV per atom.

a = 4.7725 Å, b = 4.7725 Å, c = 3.3247 Å
α = 90.00°, β = 90.00°, γ = 90.00°
Last column: nearest neighbours and their distance in Å.
Element x y z (fractional)
Tm 0.0000 0.0000 0.0000  8 Tc 2.91
Np 0.5000 0.5000 0.0000  8 Tc 2.91
Tc 0.0000 0.5000 0.5000  4 Tm 2.91, 4 Np 2.91
Tc 0.5000 0.0000 0.5000  4 Tm 2.91, 4 Np 2.91



4.
Computed, not measured: a geometry-optimized TmNpTc2 structure at the GGA-PBE level of DFT.

Values from the calculation:
The calculation puts the total moment at 1.513 μB per formula unit. Its theoretical density is 13.04 g/cm3. The calculation puts the total energy at -38.33 eV per cell. The volume comes out at 19.2 Å³ per atom. As for the calculated formation energy: -48 meV per atom.

a = 3.3387 Å, b = 3.3387 Å, c = 6.8760 Å
α = 90.00°, β = 90.00°, γ = 90.00°
Last column: nearest neighbours and their distance in Å.
Element x y z (fractional)
Tm 0.0000 0.0000 0.0000  8 Tc 3.07, 4 Tm 3.34, 2 Np 3.44
Np 0.0000 0.0000 0.5000  8 Tc 2.78
Tc 0.5000 0.5000 0.2861  4 Np 2.78, 1 Tc 2.94, 4 Tm 3.07
Tc 0.5000 0.5000 0.7139  4 Np 2.78, 1 Tc 2.94, 4 Tm 3.07



5.
Computed, not measured: a geometry-optimized NpU2Tc2 structure at the GGA-PBE level of DFT.

Values from the calculation:
The calculation puts the total moment at 0.000 μB per formula unit. Its theoretical density is 17.25 g/cm3. The calculation puts the total energy at -56.36 eV per cell. The volume comes out at 17.5 Å³ per atom. As for the calculated formation energy: -21 meV per atom.

a = 4.6991 Å, b = 4.6991 Å, c = 5.3158 Å
α = 116.29°, β = 116.29°, γ = 60.20°
Last column: nearest neighbours and their distance in Å.
Element x y z (fractional)
Np 0.0000 0.0000 0.0000  2 Tc 2.57, 6 U 2.85-2.86
U 0.3974 0.3974 0.1936  1 U 2.80, 3 Np 2.85-2.86, 4 Tc 2.88-2.94
U 0.6026 0.6026 0.8064  1 U 2.80, 3 Np 2.85-2.86, 4 Tc 2.88-2.94
Tc 0.1880 0.1880 0.5623  1 Np 2.57, 3 Tc 2.77-2.78
Tc 0.8120 0.8120 0.4377  1 Np 2.57, 3 Tc 2.77-2.78



6.
Computed, not measured: a geometry-optimized NpU3Tc structure at the GGA-PBE level of DFT.

Values from the calculation:
The calculation puts the total moment at 0.000 μB per formula unit. Its theoretical density is 17.72 g/cm3. The calculation puts the total energy at -114.13 eV per cell. The volume comes out at 19.7 Å³ per atom. As for the calculated formation energy: 21 meV per atom.

a = 5.0345 Å, b = 5.5356 Å, c = 7.6364 Å
α = 70.87°, β = 77.95°, γ = 87.23°
Last column: nearest neighbours and their distance in Å.
Element x y z (fractional)
Np 0.1673 0.4915 0.1529  4 U 2.52-2.72
Np 0.8327 0.5085 0.8471  4 U 2.52-2.72
U 0.2261 0.1875 0.9318  2 Tc 2.57-2.79, 2 Np 2.63-2.72
U 0.2428 0.7960 0.6756  1 Np 2.52, 1 U 2.62
U 0.2825 0.3333 0.4815  1 Np 2.55, 2 U 2.62-2.85
U 0.7175 0.6667 0.5185  1 Np 2.55, 2 U 2.62-2.85
U 0.7572 0.2040 0.3244  1 Np 2.52, 1 U 2.62
U 0.7739 0.8125 0.0682  2 Tc 2.57-2.79, 2 Np 2.63-2.72
Tc 0.2726 0.9131 0.2671  2 U 2.57-2.79, 1 Np 2.85
Tc 0.7274 0.0869 0.7329  2 U 2.57-2.79, 1 Np 2.85



7.
Computed, not measured: a geometry-optimized Np2UTc structure at the GGA-PBE level of DFT.

Values from the calculation:
The calculation puts the total moment at 7.249 μB per formula unit. Its theoretical density is 17.22 g/cm3. The calculation puts the total energy at -46.62 eV per cell. The volume comes out at 19.5 Å³ per atom. As for the calculated formation energy: 230 meV per atom.

a = 3.3476 Å, b = 3.3476 Å, c = 6.9689 Å
α = 90.00°, β = 90.00°, γ = 90.00°
Last column: nearest neighbours and their distance in Å.
Element x y z (fractional)
Np 0.0000 0.0000 0.2392  4 Tc 2.90, 4 U 2.98
Np 0.0000 0.0000 0.7608  4 Tc 2.90, 4 U 2.98
U 0.5000 0.5000 0.5000  8 Np 2.98
Tc 0.5000 0.5000 0.0000  8 Np 2.90



8.
Computed, not measured: a geometry-optimized Np4U2Tc3 structure at the GGA-PBE level of DFT.

Values from the calculation:
The calculation puts the total moment at 0.000 μB per formula unit. Its theoretical density is 17.99 g/cm3. The calculation puts the total energy at -105.67 eV per cell. The volume comes out at 17.6 Å³ per atom. As for the calculated formation energy: -26 meV per atom.

a = 4.5269 Å, b = 5.3806 Å, c = 7.5281 Å
α = 85.50°, β = 72.68°, γ = 65.13°
Last column: nearest neighbours and their distance in Å.
Element x y z (fractional)
Np 0.1678 0.2683 0.3988  2 Np 2.51-2.62, 2 U 2.66
Np 0.1733 0.5421 0.1128  3 Np 2.51-2.80, 1 Tc 2.73, 1 U 2.75
Np 0.8267 0.4579 0.8872  3 Np 2.51-2.80, 1 Tc 2.73, 1 U 2.75
Np 0.8322 0.7317 0.6012  2 Np 2.51-2.62, 2 U 2.66
U 0.1623 0.9191 0.7547  3 Np 2.66-2.75, 2 Tc 2.88
U 0.8377 0.0809 0.2453  3 Np 2.66-2.75, 2 Tc 2.88
Tc 0.4879 0.6832 0.3423  7 Np 2.86-3.08, 2 Tc 2.96-2.98, 4 U 2.99-3.12
Tc 0.5000 0.0000 0.0000  2 Np 2.73, 4 U 2.88, 2 Tc 2.98
Tc 0.5121 0.3168 0.6577  7 Np 2.86-3.08, 2 Tc 2.96-2.98, 4 U 2.99-3.12